ReMoW2 | PBE-GGA | relaxed

abc: 4.4725 4.4725 4.4725
angles: 60.00 60.00 60.00
Element x y z (fractional)
W: 0.0000 0.0000 0.0000
Mo: 0.5000 0.5000 0.5000
Re: 0.7500 0.7500 0.7500
W: 0.2500 0.2500 0.2500

Properties
Theoretical density, g cm⁻³: 17.06
Crystal system: cubic
Excess energy over the best structure of this formula in the dataset, eV per atom: 0.038
Energy relative to the elements, eV/atom: 0.045
Space-group type: F-43m (216)



Tl3Fe5Cl12 | PBE-GGA | relaxed

abc: 13.9393 13.9393 13.9393
angles: 109.47 109.47 109.47
Element x y z (fractional)
Cl: 0.9907 0.3927 0.3087
Cl: 0.0980 0.1820 0.4907
Tl: 0.2500 0.1250 0.3750
Cl: 0.5840 0.6913 0.6820
Cl: 0.3087 0.8927 0.9907
Cl: 0.8927 0.5840 0.9020
Tl: 0.3750 0.6250 0.2500
Tl: 0.1250 0.8750 0.7500
Cl: 0.5840 0.8927 0.4020
Cl: 0.8087 0.3180 0.9160
Cl: 0.6073 0.0093 0.1913
Cl: 0.6820 0.1913 0.5840
Tl: 0.6250 0.2500 0.3750
Cl: 0.4907 0.6820 0.0980
Fe: 0.3750 0.1250 0.7500
Cl: 0.6913 0.1073 0.0093
Cl: 0.3087 0.4160 0.8180
Cl: 0.3927 0.4020 0.0840
Tl: 0.7500 0.8750 0.6250
Tl: 0.8750 0.1250 0.2500
Cl: 0.9160 0.8180 0.8087
Cl: 0.8180 0.9020 0.0093
Fe: 0.2500 0.8750 0.1250
Cl: 0.9020 0.0840 0.8927
Cl: 0.1820 0.0840 0.6913
Fe: 0.1250 0.3750 0.2500
Cl: 0.5980 0.6073 0.4160
Fe: 0.8750 0.6250 0.7500
Cl: 0.3180 0.5093 0.4020
Tl: 0.1250 0.2500 0.8750
Cl: 0.6073 0.5980 0.9160
Fe: 0.0000 0.5000 0.0000
Tl: 0.6250 0.3750 0.7500
Cl: 0.1913 0.5093 0.6073
Cl: 0.6913 0.5840 0.1820
Cl: 0.0840 0.9020 0.3927
Tl: 0.2500 0.6250 0.8750
Cl: 0.4160 0.1073 0.5980
Fe: 0.5000 0.0000 0.5000
Cl: 0.4907 0.8087 0.8927
Cl: 0.6820 0.4907 0.5980
Fe: 0.5000 0.0000 0.0000
Fe: 0.5000 0.5000 0.5000
Cl: 0.1913 0.6820 0.0840
Fe: 0.8750 0.2500 0.6250
Cl: 0.3927 0.9907 0.8087
Cl: 0.8927 0.3087 0.4907
Cl: 0.4020 0.3927 0.5840
Fe: 0.0000 0.5000 0.5000
Cl: 0.9160 0.0980 0.6073
Cl: 0.5093 0.1913 0.1073
Cl: 0.4160 0.3087 0.3180
Tl: 0.7500 0.3750 0.1250
Fe: 0.0000 0.0000 0.0000
Cl: 0.3180 0.8087 0.4160
Cl: 0.1073 0.4160 0.0980
Cl: 0.9020 0.8180 0.5093
Fe: 0.6250 0.7500 0.8750
Cl: 0.4020 0.0093 0.3180
Cl: 0.1820 0.0980 0.9907
Cl: 0.0093 0.6073 0.6913
Cl: 0.0980 0.9160 0.1073
Fe: 0.3750 0.2500 0.1250
Cl: 0.1073 0.6913 0.5093
Cl: 0.0093 0.4020 0.8180
Cl: 0.0840 0.1820 0.1913
Cl: 0.5093 0.3180 0.9020
Fe: 0.0000 0.0000 0.5000
Fe: 0.1250 0.7500 0.3750
Fe: 0.2500 0.3750 0.6250
Tl: 0.8750 0.7500 0.1250
Tl: 0.3750 0.7500 0.6250
Cl: 0.9907 0.5980 0.1820
Fe: 0.5000 0.5000 0.0000
Cl: 0.5980 0.9907 0.6820
Fe: 0.7500 0.1250 0.8750
Cl: 0.8087 0.4907 0.3927
Fe: 0.6250 0.8750 0.2500
Cl: 0.8180 0.9160 0.3087
Fe: 0.7500 0.6250 0.3750

Properties
Theoretical density, g cm⁻³: 4.20
Crystal system: cubic
Raw formation energy, eV per formula unit: -14.39
Space-group type: Ia-3d (230)



Y2Ru2Au | PBE-GGA | relaxed

abc: 7.0285 7.0285 4.1912
angles: 90.00 90.00 90.00
Element x y z (fractional)
Au: 0.5000 0.5000 0.0000
Ru: 0.8773 0.6227 0.0000
Ru: 0.1227 0.3773 0.0000
Y: 0.6799 0.8201 0.5000
Au: 0.0000 0.0000 0.0000
Y: 0.8201 0.3201 0.5000
Y: 0.3201 0.1799 0.5000
Ru: 0.3773 0.8773 0.0000
Ru: 0.6227 0.1227 0.0000
Y: 0.1799 0.6799 0.5000

Properties
Theoretical density, g cm⁻³: 9.25
Crystal system: tetragonal
Energy relative to the elements, eV/atom: -0.369
Space-group type: P4/mbm (127)



PmEuInCu | PBE-GGA | relaxed

abc: 5.3383 5.3383 5.3383
angles: 60.00 60.00 60.00
Element x y z (fractional)
In: 0.5000 0.5000 0.5000
Cu: 0.0000 0.0000 0.0000
Pm: 0.2500 0.2500 0.2500
Eu: 0.7500 0.7500 0.7500

Properties
Theoretical density, g cm⁻³: 7.34
Crystal system: cubic
Energy relative to the elements, eV/atom: -0.238
Space-group type: F-43m (216)



PmTmPd4 | PBE-GGA | relaxed

abc: 5.4620 5.4620 5.4620
angles: 60.00 60.00 60.00
Element x y z (fractional)
Pd: 0.6254 0.1238 0.6254
Pd: 0.1238 0.6254 0.6254
Pd: 0.6254 0.6254 0.6254
Tm: 0.0000 0.0000 0.0000
Pd: 0.6254 0.6254 0.1238
Pm: 0.2500 0.2500 0.2500

Properties
Theoretical density, g cm⁻³: 10.66
Crystal system: cubic
Excess energy over the best structure of this formula in the dataset, eV per atom: 0.000
Energy relative to the elements, eV/atom: -0.799
Space-group type: F-43m (216)



Na4U3Te8 | PBE-GGA | relaxed

abc: 8.9307 8.9307 9.6136
angles: 62.32 62.32 60.00
Element x y z (fractional)
Te: 0.7480 0.2201 0.2839
Na: 0.6388 0.6388 0.0836
Te: 0.2362 0.2362 0.2915
U: 0.0000 0.5000 0.5000
Te: 0.7480 0.7480 0.2839
U: 0.0000 0.0000 0.5000
U: 0.5000 0.0000 0.5000
Te: 0.7638 0.7638 0.7085
Te: 0.7799 0.2520 0.7161
Na: 0.3612 0.3612 0.9164
Te: 0.2520 0.7799 0.7161
Na: 0.0000 0.0000 0.0000
Te: 0.2520 0.2520 0.7161
Na: 0.5000 0.5000 0.5000
Te: 0.2201 0.7480 0.2839

Properties
Theoretical density, g cm⁻³: 5.41
Crystal system: trigonal
Excess energy over the best structure of this formula in the dataset, eV per atom: 0.000
Raw formation energy, eV per formula unit: -11.29
Space-group type: R-3m (166)



Cd3POs | PBE-GGA | relaxed

abc: 5.1926 5.1926 5.1926
angles: 90.00 90.00 90.00
Element x y z (fractional)
Os: 0.0000 0.0000 0.0000
P: 0.5000 0.5000 0.5000
Cd: 0.0000 0.5000 0.0000
Cd: 0.0000 0.0000 0.5000
Cd: 0.5000 0.0000 0.0000

Properties
Theoretical density, g cm⁻³: 6.62
Crystal system: cubic
Excess energy over the best structure of this formula in the dataset, eV per atom: 0.000
Energy relative to the elements, eV/atom: 1.251
Space-group type: Pm-3m (221)



Dy12FeSn6 | PBE-GGA | relaxed

abc: 8.5537 8.5537 8.5537
angles: 99.30 99.30 99.30
Element x y z (fractional)
Dy: 0.5755 0.4430 0.8029
Fe: 0.0000 0.0000 0.0000
Dy: 0.5570 0.1971 0.4245
Dy: 0.0525 0.9898 0.3075
Sn: 0.3121 0.1211 0.6431
Dy: 0.4245 0.5570 0.1971
Sn: 0.6879 0.8789 0.3569
Dy: 0.4430 0.8029 0.5755
Dy: 0.0102 0.6925 0.9475
Dy: 0.9898 0.3075 0.0525
Sn: 0.3569 0.6879 0.8789
Sn: 0.8789 0.3569 0.6879
Sn: 0.6431 0.3121 0.1211
Dy: 0.9475 0.0102 0.6925
Dy: 0.6925 0.9475 0.0102
Dy: 0.8029 0.5755 0.4430
Dy: 0.3075 0.0525 0.9898
Sn: 0.1211 0.6431 0.3121
Dy: 0.1971 0.4245 0.5570

Properties
Theoretical density, g cm⁻³: 7.55
Crystal system: trigonal
Energy relative to the elements, eV/atom: -0.340
Space-group type: R-3 (148)



Na14Zn2Se9 | PBE-GGA | relaxed

abc: 8.2237 8.2237 11.5184
angles: 90.00 90.00 120.00
Element x y z (fractional)
Se: 0.3333 0.6667 0.0380
Se: 0.0571 0.3610 0.3363
Zn: 0.3333 0.6667 0.2595
Na: 0.6245 0.6832 0.5937
Se: 0.0000 0.0000 0.0000
Se: 0.3039 0.9429 0.3363
Na: 0.0254 0.6730 0.9095
Se: 0.6961 0.0571 0.6637
Na: 0.9413 0.6245 0.4063
Na: 0.3270 0.3524 0.9095
Zn: 0.6667 0.3333 0.7405
Se: 0.9429 0.6390 0.6637
Na: 0.9746 0.3270 0.0905
Na: 0.6476 0.9746 0.9095
Na: 0.6832 0.0587 0.4063
Na: 0.3755 0.3168 0.4063
Se: 0.3610 0.3039 0.6637
Na: 0.3524 0.0254 0.0905
Se: 0.6390 0.6961 0.3363
Na: 0.0000 0.0000 0.7490
Na: 0.6730 0.6476 0.0905
Na: 0.0000 0.0000 0.2510
Se: 0.6667 0.3333 0.9620
Na: 0.3168 0.9413 0.5937
Na: 0.0587 0.3755 0.5937

Properties
Theoretical density, g cm⁻³: 2.86
Crystal system: trigonal
Raw formation energy, eV per formula unit: -25.32
Space-group type: P-3 (147)